# Sr4Y2Fe6O15 GGA+U relaxed
# VASP energy   -748.7 eV/cell
data_Sr4Y2Fe6O15
_chemical_formula_sum 'Sr16 Y8 Fe24 O60'
_space_group_name_H-M_alt 'F m m m'
_space_group_IT_number 69
_space_group_name_Hall '-F 2 2'
_cell_length_a 7.690
_cell_length_b 7.885
_cell_length_c 23.980
_cell_angle_alpha 90.00
_cell_angle_beta 90.00
_cell_angle_gamma 90.00
loop_
_atom_site_label
_atom_site_fract_x
_atom_site_fract_y
_atom_site_fract_z
_atom_site_occupancy
Sr1 0.000 0.230 0.078 1
Y1 0.000 0.250 0.250 1
Fe1 0.243 0.000 0.332 1
Fe2 0.245 0.000 0.500 1
O1 0.000 0.000 0.000 1
O2 0.000 0.000 0.182 1
O3 0.000 0.000 0.301 1
O4 0.218 0.000 0.409 1
O5 0.250 0.250 0.000 1
O6 0.250 0.250 0.191 1